P3RuO9 after structural relaxation. Source: Alexandria via LeMat-Bulk, functional PBE-GGA.

Cell lengths 6.3933, 15.5627, 8.4922 Å; angles 90.00, 106.43, 90.00 degrees
With the nearest neighbours (Å) after each atom.
Space group P2_1/c (No. 14)
Symmetry-distinct sites (fractional):
P (0.0905, 0.1138, 0.2935)  4 O 1.50-1.61
P (0.2905, 0.6602, 0.4850)  4 O 1.49-1.61
P (0.3487, 0.5440, 0.7781)  4 O 1.51-1.61
Ru (0.3800, 0.6364, 0.1254)  6 O 2.04-2.06
O (0.0364, 0.6526, 0.3835)  2 P 1.61
O (0.0557, 0.6115, 0.0960)  1 P 1.50
O (0.1367, 0.0165, 0.2463)  2 P 1.61
O (0.3000, 0.1627, 0.3566)  1 P 1.50
O (0.3136, 0.7352, 0.5981)  1 P 1.49
O (0.3212, 0.6216, 0.8766)  1 P 1.51
O (0.3277, 0.5740, 0.5942)  2 P 1.60-1.61
O (0.4359, 0.6517, 0.3738)  1 P 1.51
O (0.4434, 0.5072, 0.1607)  1 P 1.51

Values from the calculation:
The calculation puts the energy above the most stable polymorph in this dataset at 5.1 kJ/mol of formula units.



P2RuO2 after structural relaxation. Source: Alexandria via LeMat-Bulk, functional PBE-GGA.

Cell lengths 3.6972, 3.6972, 5.3731 Å; angles 90.00, 90.00, 90.00 degrees
With the nearest neighbours (Å) after each atom.
Space group P4/mmm (No. 123)
Symmetry-distinct sites (fractional):
P (0.0000, 0.0000, 0.0000)  4 P 2.61, 2 Ru 2.69
P (0.5000, 0.5000, 0.0000)  4 P 2.61
Ru (0.0000, 0.0000, 0.5000)  4 O 1.85
O (0.0000, 0.5000, 0.5000)  2 Ru 1.85

Values from the calculation:
The calculation puts the energy above the most stable polymorph in this dataset at 53.8 kJ/mol of formula units.



P3RuO9 after structural relaxation. Source: Alexandria via LeMat-Bulk, functional PBE-GGA.

Cell lengths 5.1540, 7.1512, 10.5191 Å; angles 98.45, 91.94, 91.84 degrees
With the nearest neighbours (Å) after each atom.
Space group P-1 (No. 2)
Symmetry-distinct sites (fractional):
P (0.0010, 0.3440, 0.1439)  4 O 1.51-1.62
P (0.0195, 0.9470, 0.6770)  4 O 1.51-1.60
P (0.2608, 0.6981, 0.2677)  4 O 1.51-1.61
Ru (0.5000, 0.0000, 0.5000)  6 O 2.05-2.08
Ru (0.5000, 0.5000, 0.0000)  6 O 2.05-2.08
O (0.0213, 0.8366, 0.2645)  2 P 1.60-1.61
O (0.0423, 0.1508, 0.1990)  2 P 1.59-1.60
O (0.1121, 0.4971, 0.2640)  2 P 1.60-1.62
O (0.1674, 0.3419, 0.0289)  1 P 1.51
O (0.1726, 0.1230, 0.4318)  1 P 1.51
O (0.2885, 0.6344, 0.8744)  1 P 1.51
O (0.3049, 0.9232, 0.6519)  1 P 1.51
O (0.4078, 0.7386, 0.3960)  1 P 1.51
O (0.4121, 0.7052, 0.1479)  1 P 1.51

Values from the calculation:
The calculation puts the energy above the most stable polymorph in this dataset at 0.0 kJ/mol of formula units.



PRuSO2 after structural relaxation. Source: Alexandria via LeMat-Bulk, functional PBE-GGA.

Cell lengths 3.4091, 3.4091, 5.9475 Å; angles 90.00, 90.00, 90.00 degrees
With the nearest neighbours (Å) after each atom.
Space group P4/mmm (No. 123)
Symmetry-distinct sites (fractional):
P (0.0000, 0.0000, 0.0000)  4 Ru 2.41
Ru (0.5000, 0.5000, 0.0000)  4 P 2.41
S (0.0000, 0.0000, 0.5000)  4 O 1.70
O (0.0000, 0.5000, 0.5000)  2 S 1.70

Values from the calculation:
The total DFT energy (no corrections) is -5.31 eV/atom.



PRuSO2 after structural relaxation. Source: Alexandria via LeMat-Bulk, functional PBE-GGA.

Cell lengths 3.6651, 3.6651, 5.4935 Å; angles 90.00, 90.00, 90.00 degrees
With the nearest neighbours (Å) after each atom.
Space group P4/mmm (No. 123)
Symmetry-distinct sites (fractional):
P (0.0000, 0.0000, 0.0000)  4 S 2.59, 2 Ru 2.75
Ru (0.0000, 0.0000, 0.5000)  4 O 1.83
S (0.5000, 0.5000, 0.0000)  4 P 2.59
O (0.0000, 0.5000, 0.5000)  2 Ru 1.83

Values from the calculation:
The total DFT energy (no corrections) is -5.98 eV/atom.



SbP2RuO after structural relaxation. Source: Alexandria via LeMat-Bulk, functional PBE-GGA.

Cell lengths 4.8440, 4.8440, 3.6979 Å; angles 90.00, 90.00, 90.00 degrees
With the nearest neighbours (Å) after each atom.
Space group P4/mmm (No. 123)
Symmetry-distinct sites (fractional):
Sb (0.0000, 0.0000, 0.0000)  8 P 3.05
P (0.0000, 0.5000, 0.5000)  2 Ru 2.42
Ru (0.5000, 0.5000, 0.5000)  2 O 1.85
O (0.5000, 0.5000, 0.0000)  2 Ru 1.85

Values from the calculation:
The calculation puts the energy above the most stable polymorph in this dataset at 0.0 kJ/mol of formula units.



SbP2RuO after structural relaxation. Source: Alexandria via LeMat-Bulk, functional PBE-GGA.

Cell lengths 5.0107, 5.0107, 3.8067 Å; angles 90.00, 90.00, 90.00 degrees
With the nearest neighbours (Å) after each atom.
Space group P4/mmm (No. 123)
Symmetry-distinct sites (fractional):
Sb (0.0000, 0.0000, 0.0000)  2 O 1.90
P (0.0000, 0.5000, 0.0000)  2 Sb 2.51
Ru (0.5000, 0.5000, 0.5000)  8 P 3.15
O (0.0000, 0.0000, 0.5000)  2 Sb 1.90

Values from the calculation:
The calculation puts the energy above the most stable polymorph in this dataset at 424.7 kJ/mol of formula units.



ScP2RuO after structural relaxation. Source: Alexandria via LeMat-Bulk, functional PBE-GGA.

Cell lengths 4.8019, 4.8019, 3.6661 Å; angles 90.00, 90.00, 90.00 degrees
With the nearest neighbours (Å) after each atom.
Space group P4/mmm (No. 123)
Symmetry-distinct sites (fractional):
Sc (0.0000, 0.0000, 0.0000)  8 P 3.02
P (0.0000, 0.5000, 0.5000)  2 Ru 2.40
Ru (0.5000, 0.5000, 0.5000)  2 O 1.83
O (0.5000, 0.5000, 0.0000)  2 Ru 1.83

Values from the calculation:
The calculation puts the energy above the most stable polymorph in this dataset at 0.0 kJ/mol of formula units.



ScPRuO2 after structural relaxation. Source: Alexandria via LeMat-Bulk, functional PBE-GGA.

Cell lengths 3.8419, 3.8419, 5.9037 Å; angles 90.00, 90.00, 90.00 degrees
With the nearest neighbours (Å) after each atom.
Space group P4/mmm (No. 123)
Symmetry-distinct sites (fractional):
Sc (0.0000, 0.0000, 0.0000)  4 O 1.92
P (0.0000, 0.0000, 0.5000)  4 Ru 2.72, 2 Sc 2.95
Ru (0.5000, 0.5000, 0.5000)  4 P 2.72
O (0.0000, 0.5000, 0.0000)  2 Sc 1.92

Values from the calculation:
The calculation puts the energy above the most stable polymorph in this dataset at 188.5 kJ/mol of formula units.



ScPRuO2 after structural relaxation. Source: Alexandria via LeMat-Bulk, functional PBE-GGA.

Cell lengths 3.8064, 3.8064, 5.0965 Å; angles 90.00, 90.00, 90.00 degrees
With the nearest neighbours (Å) after each atom.
Space group P4/mmm (No. 123)
Symmetry-distinct sites (fractional):
Sc (0.0000, 0.0000, 0.0000)  4 P 2.69
P (0.5000, 0.5000, 0.0000)  2 Ru 2.55, 4 Sc 2.69
Ru (0.5000, 0.5000, 0.5000)  4 O 1.90
O (0.0000, 0.5000, 0.5000)  2 Ru 1.90

Values from the calculation:
The calculation puts the energy above the most stable polymorph in this dataset at 0.0 kJ/mol of formula units.



ScP2RuO after structural relaxation. Source: Alexandria via LeMat-Bulk, functional PBE-GGA.

Cell lengths 5.0110, 5.0110, 3.7688 Å; angles 90.00, 90.00, 90.00 degrees
With the nearest neighbours (Å) after each atom.
Space group P4/mmm (No. 123)
Symmetry-distinct sites (fractional):
Sc (0.0000, 0.0000, 0.0000)  2 O 1.88
P (0.0000, 0.5000, 0.0000)  2 Sc 2.51
Ru (0.5000, 0.5000, 0.5000)  8 P 3.14
O (0.0000, 0.0000, 0.5000)  2 Sc 1.88

Values from the calculation:
The calculation puts the energy above the most stable polymorph in this dataset at 290.2 kJ/mol of formula units.



P2RuSeO after structural relaxation. Source: Alexandria via LeMat-Bulk, functional PBE-GGA.

Cell lengths 4.7295, 4.7295, 3.7148 Å; angles 90.00, 90.00, 90.00 degrees
With the nearest neighbours (Å) after each atom.
Space group P4/mmm (No. 123)
Symmetry-distinct sites (fractional):
P (0.0000, 0.5000, 0.0000)  2 Ru 2.36
Ru (0.0000, 0.0000, 0.0000)  2 O 1.86
Se (0.5000, 0.5000, 0.5000)  8 P 3.01, 4 O 3.34
O (0.0000, 0.0000, 0.5000)  2 Ru 1.86

Values from the calculation:
The calculation puts the energy above the most stable polymorph in this dataset at 0.0 kJ/mol of formula units.



PRuSeO2 after structural relaxation. Source: Alexandria via LeMat-Bulk, functional PBE-GGA.

Cell lengths 3.7073, 3.7073, 5.5430 Å; angles 90.00, 90.00, 90.00 degrees
With the nearest neighbours (Å) after each atom.
Space group P4/mmm (No. 123)
Symmetry-distinct sites (fractional):
P (0.0000, 0.0000, 0.0000)  4 Se 2.62, 2 Ru 2.77
Ru (0.0000, 0.0000, 0.5000)  4 O 1.85
Se (0.5000, 0.5000, 0.0000)  4 P 2.62
O (0.0000, 0.5000, 0.5000)  2 Ru 1.85

Values from the calculation:
The calculation puts the energy above the most stable polymorph in this dataset at 0.0 kJ/mol of formula units.



PRuSeO2 after structural relaxation. Source: Alexandria via LeMat-Bulk, functional PBE-GGA.

Cell lengths 3.6433, 3.6433, 5.6081 Å; angles 90.00, 90.00, 90.00 degrees
With the nearest neighbours (Å) after each atom.
Space group P4/mmm (No. 123)
Symmetry-distinct sites (fractional):
P (0.0000, 0.0000, 0.0000)  4 Ru 2.58, 2 Se 2.80
Ru (0.5000, 0.5000, 0.0000)  4 P 2.58
Se (0.0000, 0.0000, 0.5000)  4 O 1.82
O (0.0000, 0.5000, 0.5000)  2 Se 1.82

Values from the calculation:
The calculation puts the energy above the most stable polymorph in this dataset at 373.6 kJ/mol of formula units.



PRuSeO2 after structural relaxation. Source: Alexandria via LeMat-Bulk, functional PBE-GGA.

Cell lengths 3.4605, 3.4605, 5.9745 Å; angles 90.00, 90.00, 90.00 degrees
With the nearest neighbours (Å) after each atom.
Space group P4/mmm (No. 123)
Symmetry-distinct sites (fractional):
P (0.0000, 0.0000, 0.0000)  4 O 1.73
Ru (0.5000, 0.5000, 0.5000)  4 Se 2.45
Se (0.0000, 0.0000, 0.5000)  4 Ru 2.45
O (0.0000, 0.5000, 0.0000)  2 P 1.73

Values from the calculation:
The calculation puts the energy above the most stable polymorph in this dataset at 90.0 kJ/mol of formula units.



P2RuSeO after structural relaxation. Source: Alexandria via LeMat-Bulk, functional PBE-GGA.

Cell lengths 4.7300, 4.7300, 3.5054 Å; angles 90.00, 90.00, 90.00 degrees
With the nearest neighbours (Å) after each atom.
Space group P4/mmm (No. 123)
Symmetry-distinct sites (fractional):
P (0.0000, 0.5000, 0.0000)  2 Se 2.36
Ru (0.0000, 0.0000, 0.5000)  8 P 2.94
Se (0.5000, 0.5000, 0.0000)  2 O 1.75
O (0.5000, 0.5000, 0.5000)  2 Se 1.75

Values from the calculation:
The calculation puts the energy above the most stable polymorph in this dataset at 357.9 kJ/mol of formula units.



SiP3RuO11 after structural relaxation. Source: Alexandria via LeMat-Bulk, functional PBE-GGA.

Cell lengths 8.4155, 8.4155, 39.8924 Å; angles 90.00, 90.00, 120.00 degrees
With the nearest neighbours (Å) after each atom.
Space group R-3c (No. 167, hexagonal axes)
Symmetry-distinct sites (fractional):
Si (0.0000, 0.0000, 0.0398)  4 O 1.59-1.63
P (0.0011, 0.2964, 0.2865)  4 O 1.50-1.62
Ru (0.0000, 0.0000, 0.1589)  6 O 2.06
O (0.0000, 0.0000, 0.0000)  2 Si 1.59
O (0.0000, 0.2128, 0.2500)  2 P 1.62
O (0.0436, 0.2015, 0.5529)  1 P 1.59, 1 Si 1.63
O (0.0814, 0.2204, 0.8730)  1 P 1.50
O (0.0908, 0.2282, 0.1891)  1 P 1.52

Values from the calculation:
The total DFT energy (no corrections) is -7.33 eV/atom.



SiP2RuO after structural relaxation. Source: Alexandria via LeMat-Bulk, functional PBE-GGA.

Cell lengths 4.6756, 4.6756, 3.1782 Å; angles 90.00, 90.00, 90.00 degrees
With the nearest neighbours (Å) after each atom.
Space group P4/mmm (No. 123)
Symmetry-distinct sites (fractional):
Si (0.0000, 0.0000, 0.0000)  2 O 1.59
P (0.0000, 0.5000, 0.0000)  2 Si 2.34
Ru (0.5000, 0.5000, 0.5000)  8 P 2.83
O (0.0000, 0.0000, 0.5000)  2 Si 1.59

Values from the calculation:
The calculation puts the energy above the most stable polymorph in this dataset at 0.0 kJ/mol of formula units.



SiPRuO2 after structural relaxation. Source: Alexandria via LeMat-Bulk, functional PBE-GGA.

Cell lengths 3.3044, 3.3044, 7.1913 Å; angles 90.00, 90.00, 90.00 degrees
With the nearest neighbours (Å) after each atom.
Space group P4/mmm (No. 123)
Symmetry-distinct sites (fractional):
Si (0.0000, 0.0000, 0.0000)  4 O 1.65
P (0.0000, 0.0000, 0.5000)  4 Ru 2.34
Ru (0.5000, 0.5000, 0.5000)  4 P 2.34
O (0.0000, 0.5000, 0.0000)  2 Si 1.65

Values from the calculation:
The calculation puts the energy above the most stable polymorph in this dataset at 0.0 kJ/mol of formula units.



SiPRuO2 after structural relaxation. Source: Alexandria via LeMat-Bulk, functional PBE-GGA.

Cell lengths 3.7410, 3.7410, 5.1878 Å; angles 90.00, 90.00, 90.00 degrees
With the nearest neighbours (Å) after each atom.
Space group P4/mmm (No. 123)
Symmetry-distinct sites (fractional):
Si (0.0000, 0.0000, 0.0000)  4 P 2.65
P (0.5000, 0.5000, 0.0000)  2 Ru 2.59, 4 Si 2.65
Ru (0.5000, 0.5000, 0.5000)  4 O 1.87
O (0.0000, 0.5000, 0.5000)  2 Ru 1.87

Values from the calculation:
The calculation puts the energy above the most stable polymorph in this dataset at 291.8 kJ/mol of formula units.